Record 1
Computed, not measured: an optimized crystal structure of LiTeAs2Se at the PBE level of DFT.

Summary:
The distance to the lowest polymorph of the same formula comes out at 0 meV per atom. The value obtained for the formation energy (no corrections) is 0.438 eV/atom.

abc: 4.765 4.765 4.630
angles: 90.00 90.00 90.00
Space group P4/mmm (No. 123)
Symmetry-distinct sites (fractional):
Li (0.000, 0.000, 0.000) x1
Te (0.500, 0.500, 0.500) x1
As (0.000, 0.500, 0.000) x2
Se (0.000, 0.000, 0.500) x1

Record 2
Computed, not measured: an optimized crystal structure of LiTiAsSe2 at the PBE level of DFT.

Summary:
The distance to the lowest polymorph of the same formula comes out at 0 meV per atom. The value obtained for the formation energy (no corrections) is -0.446 eV/atom.

abc: 4.984 4.984 4.925
angles: 90.00 90.00 90.00
Space group P4/mmm (No. 123)
Symmetry-distinct sites (fractional):
Li (0.000, 0.000, 0.000) x1
Ti (0.500, 0.500, 0.500) x1
As (0.500, 0.500, 0.000) x1
Se (0.000, 0.500, 0.500) x2

Record 3
Computed, not measured: an optimized crystal structure of LiTiAs2Se at the PBE level of DFT.

Summary:
The distance to the lowest polymorph of the same formula comes out at 0 meV per atom. The value obtained for the formation energy (no corrections) is -0.262 eV/atom.

abc: 4.906 4.906 5.009
angles: 90.00 90.00 90.00
Space group P4/mmm (No. 123)
Symmetry-distinct sites (fractional):
Li (0.000, 0.000, 0.000) x1
Ti (0.500, 0.500, 0.500) x1
As (0.000, 0.500, 0.500) x2
Se (0.500, 0.500, 0.000) x1

Record 4
Computed, not measured: an optimized crystal structure of LiTiAs2Se at the PBE level of DFT.

Summary:
The distance to the lowest polymorph of the same formula comes out at 606 meV per atom. The value obtained for the formation energy (no corrections) is 0.343 eV/atom.

abc: 4.422 4.422 4.821
angles: 90.00 90.00 90.00
Space group P4/mmm (No. 123)
Symmetry-distinct sites (fractional):
Li (0.000, 0.000, 0.000) x1
Ti (0.500, 0.500, 0.500) x1
As (0.000, 0.500, 0.000) x2
Se (0.000, 0.000, 0.500) x1

Record 5
Computed, not measured: an optimized crystal structure of LiTiAsSe2 at the PBE level of DFT.

Summary:
The distance to the lowest polymorph of the same formula comes out at 694 meV per atom. The value obtained for the formation energy (no corrections) is 0.248 eV/atom.

abc: 4.682 4.682 4.395
angles: 90.00 90.00 90.00
Space group P4/mmm (No. 123)
Symmetry-distinct sites (fractional):
Li (0.000, 0.000, 0.000) x1
Ti (0.500, 0.500, 0.500) x1
As (0.000, 0.000, 0.500) x1
Se (0.000, 0.500, 0.000) x2

Record 6
Computed, not measured: an optimized crystal structure of LiTl2AsSe4 at the PBE level of DFT.

Summary:
The value obtained for the formation energy (no corrections) is -0.414 eV/atom.

abc: 6.551 6.554 6.927
angles: 111.67 112.22 102.01
Space group P1 (No. 1)
Symmetry-distinct sites (fractional):
Li (0.000, 0.000, 0.000) x1
Tl (0.547, 0.546, 0.000) x1
Tl (0.709, 0.208, 0.498) x1
As (0.208, 0.708, 0.500) x1
Se (0.151, 0.712, 0.141) x1
Se (0.197, 0.322, 0.430) x1
Se (0.571, 0.009, 0.859) x1
Se (0.892, 0.766, 0.570) x1

Record 7
Computed, not measured: an optimized crystal structure of LiTlAsSe3 at the PBE level of DFT.

Summary:
The value obtained for the formation energy (no corrections) is -0.375 eV/atom.

abc: 7.011 13.588 6.833
angles: 90.00 90.00 90.00
Space group Cmcm (No. 63)
Symmetry-distinct sites (fractional):
Li (0.000, 0.090, 0.250) x4
Tl (0.000, 0.211, 0.750) x4
As (0.000, 0.452, 0.250) x4
Se (0.000, 0.278, 0.250) x4
Se (0.229, 0.000, 0.000) x8

Record 8
Computed, not measured: an optimized crystal structure of Li2TmAsSe4 at the PBE level of DFT.

Summary:
The value obtained for the formation energy (no corrections) is -1.098 eV/atom.

abc: 6.835 3.951 6.862
angles: 90.00 109.42 90.00
Space group P2/m (No. 10)
Symmetry-distinct sites (fractional):
Li (0.000, 0.000, 0.000) x1
Li (0.000, 0.500, 0.500) x1
Tm (0.500, 0.000, 0.500) x1
As (0.500, 0.500, 0.000) x1
Se (0.252, 0.500, 0.242) x2
Se (0.256, 0.000, 0.762) x2

Record 9
Computed, not measured: an optimized crystal structure of LiUAsSe at the PBE level of DFT.

Summary:
The value obtained for the formation energy (no corrections) is -0.888 eV/atom.

abc: 4.0803 4.0803 19.4848
angles: 90.00 90.00 120.00
Space group R3m (No. 160, hexagonal axes)
Symmetry-distinct sites (fractional):
Li (0.0000, 0.0000, 0.0000) x3
U (0.0000, 0.0000, 0.5152) x3
As (0.0000, 0.0000, 0.2618) x3
Se (0.0000, 0.0000, 0.7637) x3

Record 10
Computed, not measured: an optimized crystal structure of LiAsWSe2 at the PBE level of DFT.

Summary:
The distance to the lowest polymorph of the same formula comes out at 972 meV per atom. The value obtained for the formation energy (no corrections) is 1.048 eV/atom.

abc: 4.550 4.550 4.329
angles: 90.00 90.00 90.00
Space group P4/mmm (No. 123)
Symmetry-distinct sites (fractional):
Li (0.000, 0.000, 0.000) x1
As (0.000, 0.000, 0.500) x1
W (0.500, 0.500, 0.500) x1
Se (0.000, 0.500, 0.000) x2

Record 11
Computed, not measured: an optimized crystal structure of LiAs2WSe at the PBE level of DFT.

Summary:
The distance to the lowest polymorph of the same formula comes out at 0 meV per atom. The value obtained for the formation energy (no corrections) is 0.189 eV/atom.

abc: 4.898 4.898 5.097
angles: 90.00 90.00 90.00
Space group P4/mmm (No. 123)
Symmetry-distinct sites (fractional):
Li (0.000, 0.000, 0.000) x1
As (0.000, 0.500, 0.500) x2
W (0.500, 0.500, 0.500) x1
Se (0.500, 0.500, 0.000) x1

Record 12
Computed, not measured: an optimized crystal structure of LiAsWSe2 at the PBE level of DFT.

Summary:
The distance to the lowest polymorph of the same formula comes out at 0 meV per atom. The value obtained for the formation energy (no corrections) is 0.075 eV/atom.

abc: 5.020 5.020 4.898
angles: 90.00 90.00 90.00
Space group P4/mmm (No. 123)
Symmetry-distinct sites (fractional):
Li (0.000, 0.000, 0.000) x1
As (0.500, 0.500, 0.000) x1
W (0.500, 0.500, 0.500) x1
Se (0.000, 0.500, 0.500) x2

Record 13
Computed, not measured: an optimized crystal structure of LiYAs2Se at the PBE level of DFT.

Summary:
The distance to the lowest polymorph of the same formula comes out at 238 meV per atom. The value obtained for the formation energy (no corrections) is -0.114 eV/atom.

abc: 5.457 5.457 5.491
angles: 90.00 90.00 90.00
Space group P4/mmm (No. 123)
Symmetry-distinct sites (fractional):
Li (0.000, 0.000, 0.000) x1
Y (0.500, 0.500, 0.500) x1
As (0.000, 0.500, 0.500) x2
Se (0.500, 0.500, 0.000) x1

Record 14
Computed, not measured: an optimized crystal structure of LiYAs2Se at the PBE level of DFT.

Summary:
The distance to the lowest polymorph of the same formula comes out at 0 meV per atom. The value obtained for the formation energy (no corrections) is -0.353 eV/atom.

abc: 4.470 4.470 5.199
angles: 90.00 90.00 90.00
Space group P4/mmm (No. 123)
Symmetry-distinct sites (fractional):
Li (0.000, 0.000, 0.000) x1
Y (0.500, 0.500, 0.500) x1
As (0.000, 0.500, 0.000) x2
Se (0.000, 0.000, 0.500) x1